Here is crystalline ZrNiIO2 at its relaxed geometry from Alexandria. Energies are from PBE with a Hubbard U.

a b c (Å): 4.0767 4.0767 4.8494
angles (deg): 90.00 90.00 90.00
Element x y z (fractional)
Zr1 0.0000 0.0000 0.0000
Ni1 0.5000 0.5000 0.5000
I1 0.5000 0.5000 0.0000
O1 0.0000 0.5000 0.5000
O2 0.5000 0.0000 0.5000

Summary:
For the total energy, the calculation gives -0.170 hartree per atom. As for the crystal system: tetragonal. Its energy above the most stable polymorph in this dataset is 1243 meV/atom. The value obtained for the density of states at the Fermi level is 2.49 states/eV per cell.